# BeB2

An optimized crystal structure of BeB2 (GGA-PBEsol, Alexandria via LeMat-Bulk).

abc: 3.3488 3.3488 5.1253
angles: 90.00 90.00 127.57
Element x y z (fractional)
Be (0.0880, 0.9120, 0.7500)
Be (0.9120, 0.0880, 0.2500)
B (0.2282, 0.7718, 0.0892)
B (0.2282, 0.7718, 0.4108)
B (0.7718, 0.2282, 0.5892)
B (0.7718, 0.2282, 0.9108)

Output
As for the formation energy: -0.1007 eV/atom.


# WS2O8

An optimized crystal structure of WS2O8 (GGA-PBEsol, Alexandria via LeMat-Bulk).

abc: 9.1606 13.1867 9.3739
angles: 90.00 90.00 90.00
Element x y z (fractional)
W (0.1073, 0.1270, 0.1419)
W (0.1073, 0.3730, 0.6419)
W (0.3927, 0.6270, 0.1419)
W (0.3927, 0.8730, 0.6419)
W (0.6073, 0.1270, 0.3581)
W (0.6073, 0.3730, 0.8581)
W (0.8927, 0.6270, 0.3581)
W (0.8927, 0.8730, 0.8581)
S (0.0626, 0.7183, 0.0766)
S (0.0626, 0.7817, 0.5766)
S (0.1892, 0.0158, 0.8460)
S (0.1892, 0.4842, 0.3460)
S (0.3108, 0.5158, 0.8460)
S (0.3108, 0.9842, 0.3460)
S (0.4374, 0.2183, 0.0766)
S (0.4374, 0.2817, 0.5766)
S (0.5626, 0.7183, 0.4234)
S (0.5626, 0.7817, 0.9234)
S (0.6892, 0.0158, 0.6540)
S (0.6892, 0.4842, 0.1540)
S (0.8108, 0.5158, 0.6540)
S (0.8108, 0.9842, 0.1540)
S (0.9374, 0.2183, 0.4234)
S (0.9374, 0.2817, 0.9234)
O (0.0028, 0.7197, 0.2284)
O (0.0028, 0.7803, 0.7284)
O (0.0126, 0.6354, 0.9926)
O (0.0126, 0.8646, 0.4926)
O (0.0255, 0.6783, 0.5198)
O (0.0255, 0.8217, 0.0198)
O (0.0330, 0.5162, 0.3150)
O (0.0330, 0.9838, 0.8150)
O (0.2010, 0.0265, 0.0066)
O (0.2010, 0.4735, 0.5066)
O (0.2209, 0.0768, 0.3133)
O (0.2209, 0.4232, 0.8133)
O (0.2271, 0.1047, 0.7693)
O (0.2271, 0.3953, 0.2693)
O (0.2277, 0.7211, 0.0932)
O (0.2277, 0.7789, 0.5932)
O (0.2723, 0.2211, 0.0932)
O (0.2723, 0.2789, 0.5932)
O (0.2729, 0.6047, 0.7693)
O (0.2729, 0.8953, 0.2693)
O (0.2791, 0.5768, 0.3133)
O (0.2791, 0.9232, 0.8133)
O (0.2990, 0.5265, 0.0066)
O (0.2990, 0.9735, 0.5066)
O (0.4670, 0.0162, 0.3150)
O (0.4670, 0.4838, 0.8150)
O (0.4745, 0.1783, 0.5198)
O (0.4745, 0.3217, 0.0198)
O (0.4874, 0.1354, 0.9926)
O (0.4874, 0.3646, 0.4926)
O (0.4972, 0.2197, 0.2284)
O (0.4972, 0.2803, 0.7284)
O (0.5028, 0.7197, 0.2716)
O (0.5028, 0.7803, 0.7716)
O (0.5126, 0.6354, 0.5074)
O (0.5126, 0.8646, 0.0074)
O (0.5255, 0.6783, 0.9802)
O (0.5255, 0.8217, 0.4802)
O (0.5330, 0.5162, 0.1850)
O (0.5330, 0.9838, 0.6850)
O (0.7010, 0.0265, 0.4934)
O (0.7010, 0.4735, 0.9934)
O (0.7209, 0.0768, 0.1867)
O (0.7209, 0.4232, 0.6867)
O (0.7271, 0.1047, 0.7307)
O (0.7271, 0.3953, 0.2307)
O (0.7277, 0.7211, 0.4068)
O (0.7277, 0.7789, 0.9068)
O (0.7723, 0.2211, 0.4068)
O (0.7723, 0.2789, 0.9068)
O (0.7729, 0.6047, 0.7307)
O (0.7729, 0.8953, 0.2307)
O (0.7791, 0.5768, 0.1867)
O (0.7791, 0.9232, 0.6867)
O (0.7990, 0.5265, 0.4934)
O (0.7990, 0.9735, 0.9934)
O (0.9670, 0.0162, 0.1850)
O (0.9670, 0.4838, 0.6850)
O (0.9745, 0.1783, 0.9802)
O (0.9745, 0.3217, 0.4802)
O (0.9874, 0.1354, 0.5074)
O (0.9874, 0.3646, 0.0074)
O (0.9972, 0.2197, 0.2716)
O (0.9972, 0.2803, 0.7716)

Output
As for the uncorrected formation energy: -1.3240 eV per atom.


# RbHg2GeTe

An optimized crystal structure of RbHg2GeTe (GGA-PBEsol, Alexandria via LeMat-Bulk).

abc: 5.3309 5.3309 5.7834
angles: 90.00 90.00 90.00
Element x y z (fractional)
Rb (0.0000, 0.0000, 0.0000)
Hg (0.0000, 0.5000, 0.5000)
Hg (0.5000, 0.0000, 0.5000)
Ge (0.5000, 0.5000, 0.5000)
Te (0.5000, 0.5000, 0.0000)

Output
As for the uncorrected formation energy: -0.1919 eV per atom.


# LaTl2Zn

An optimized crystal structure of LaTl2Zn (GGA-PBEsol, Alexandria via LeMat-Bulk).

abc: 6.1634 6.1634 6.1634
angles: 144.04 131.58 61.77
Element x y z (fractional)
La (0.0000, 0.0000, 0.0000)
Tl (0.2824, 0.7824, 0.5000)
Tl (0.7176, 0.2176, 0.5000)
Zn (0.5000, 0.5000, 0.0000)

Output
As for the formation energy: -0.1742 eV/atom.